Below is KYZnF6 after structural relaxation, with properties calculated at the PBE-GGA level.

Cell lengths 7.539, 7.221, 7.354 Å; angles 119.40, 120.83, 90.00 degrees
Element x y z (fractional)
F 0.400 0.150 0.801
F 0.833 0.614 0.267
F 0.833 0.153 0.267
F 0.566 0.386 0.733
F 0.167 0.847 0.733
F 0.566 0.847 0.733
F 0.136 0.886 0.272
F 0.434 0.614 0.267
F 0.864 0.114 0.728
F 0.600 0.850 0.199
F 0.167 0.386 0.733
F 0.434 0.153 0.267
Zn 0.500 0.500 0.000
Zn 0.500 0.000 0.000
K 0.161 0.411 0.321
K 0.839 0.589 0.679
Y 0.000 0.000 0.500
Y 0.500 0.000 0.500

Space-group type: Imma (74)
Formation energy (no corrections) (eV per formula unit): -28.6
DFT total energy (eV/atom): -5.409
V (A^3/atom): 15.67

Below is K2YZn3F12 after structural relaxation, with properties calculated at the PBE-GGA level.

Cell lengths 7.554, 7.554, 7.554 Å; angles 59.29, 59.29, 59.29 degrees
Element x y z (fractional)
F 0.084 0.697 0.697
F 0.096 0.643 0.096
F 0.904 0.904 0.357
F 0.303 0.916 0.303
F 0.303 0.303 0.916
F 0.697 0.084 0.697
F 0.357 0.904 0.904
F 0.643 0.096 0.096
F 0.916 0.303 0.303
F 0.096 0.096 0.643
F 0.697 0.697 0.084
F 0.904 0.357 0.904
K 0.633 0.633 0.633
K 0.367 0.367 0.367
Zn 0.000 0.000 0.500
Zn 0.500 0.000 0.000
Zn 0.000 0.500 0.000
Y 0.000 0.000 0.000

Space-group type: R-3m (166)
Formation energy (no corrections) (eV per formula unit): -48.5
DFT total energy (eV/atom): -4.636
V (A^3/atom): 16.66

Below is KYb3F10 after structural relaxation, with properties calculated at the PBE-GGA level.

Cell lengths 8.239, 8.239, 8.239 Å; angles 60.00, 60.00, 60.00 degrees
Element x y z (fractional)
F 0.612 0.612 0.612
F 0.837 0.388 0.388
F 0.000 0.331 0.669
F 0.669 0.000 0.000
F 0.163 0.612 0.612
F 0.612 0.163 0.612
F 0.000 0.669 0.000
F 0.000 0.000 0.669
F 0.331 0.669 0.000
F 0.388 0.388 0.388
F 0.331 0.000 0.669
F 0.000 0.331 0.000
F 0.612 0.612 0.163
F 0.669 0.331 0.000
F 0.388 0.837 0.388
F 0.331 0.000 0.000
F 0.388 0.388 0.837
F 0.669 0.000 0.331
F 0.000 0.669 0.331
F 0.000 0.000 0.331
Yb 0.262 0.262 0.738
Yb 0.738 0.262 0.738
Yb 0.262 0.738 0.738
Yb 0.262 0.738 0.262
Yb 0.738 0.262 0.262
Yb 0.738 0.738 0.262
K 0.750 0.750 0.750
K 0.250 0.250 0.250

Space-group type: Fm-3m (225)
Formation energy (no corrections) (eV per formula unit): -47.5
DFT total energy (eV/atom): -5.136
V (A^3/atom): 14.12

no.,ρ (g/cm³)
1,3.62
2,3.27
3,6.28